DFT (PBE) results for a relaxed Nb3AuN crystal.

Summary:
**Raw total energy**: -8.8331 eV/atom
**Crystal system**: triclinic
**DOS at the Fermi energy**: 5.49 states/eV per cell
**Symmetry**: No. 1

Cell lengths 10.726, 4.908, 3.000 Å; angles 88.52, 88.16, 92.22 degrees
Sites, in units of the cell vectors:
N1 0.417 0.311 0.685
N2 0.667 0.840 0.168
Nb1 0.482 0.591 0.172
Nb2 0.987 0.604 0.305
Nb3 0.584 0.089 0.663
Nb4 0.843 0.088 0.118
Nb5 0.741 0.575 0.671
Nb6 0.322 0.086 0.201
Au1 0.081 0.109 0.695
Au2 0.220 0.620 0.767